Record 1
NaEuEr2: relaxed, GGA-PBE.

Cell lengths 3.521, 3.521, 13.067 Å; angles 82.26, 82.26, 60.00 degrees
Each line ends with the local moment (μB).
Atoms (fractional coordinates):
Er: 0.089 0.089 0.732  -0.21
Eu: 0.500 0.500 0.500  -7.03
Er: 0.911 0.911 0.268  -0.21
Na: 0.000 0.000 0.000  0.00

Results
magnetization: 8.20 μB/cell
E_tot: -4.915 eV per atom
E_form: 265 meV/atom
density of states at the Fermi level: 5.11 states/eV/f.u.

=====

Record 2
LiAlCdF6: relaxed, GGA-PBE.

Cell lengths 4.821, 4.821, 9.411 Å; angles 90.00, 90.00, 90.00 degrees
Atoms (fractional coordinates):
F: 0.691 0.691 0.972
F: 0.825 0.175 0.185
F: 0.309 0.309 0.972
F: 0.730 0.730 0.342
Cd: 0.000 0.000 0.671
F: 0.809 0.191 0.472
F: 0.175 0.825 0.185
Li: 0.500 0.500 0.500
Cd: 0.500 0.500 0.171
F: 0.270 0.270 0.342
F: 0.191 0.809 0.472
F: 0.230 0.770 0.842
Al: 0.500 0.500 0.834
Al: 0.000 0.000 0.334
F: 0.325 0.325 0.685
Li: 0.000 0.000 0.000
F: 0.675 0.675 0.685
F: 0.770 0.230 0.842

Results
magnetization: 0.00 μB/cell
E_tot: -4.946 eV per atom
raw formation energy: -2.97 eV per atom
density of states at the Fermi level: 0.00 states/eV/f.u.

=====

Record 3
BaLi2LaRu: relaxed, GGA-PBE.

Cell lengths 5.434, 5.434, 5.012 Å; angles 90.00, 90.00, 90.00 degrees
Atoms (fractional coordinates):
Li: 0.500 0.000 0.000
Ru: 0.000 0.000 0.000
Ba: 0.500 0.500 0.500
La: 0.000 0.000 0.500
Li: 0.000 0.500 0.000

Results
magnetization: 0.00 μB/cell
E_tot: -3.873 eV per atom
E_form: 118 meV/atom
density of states at the Fermi level: 4.89 states/eV/f.u.

=====

Record 4
Np2SiP4: relaxed, GGA-PBE.

Cell lengths 6.525, 5.367, 7.859 Å; angles 90.00, 107.29, 90.00 degrees
Each line ends with the local moment (μB).
Atoms (fractional coordinates):
P: 0.919 0.250 0.598  -0.06
Np: 0.765 0.750 0.567  3.48
P: 0.081 0.750 0.402  -0.06
P: 0.476 0.520 0.742  0.00
P: 0.524 0.020 0.258  0.00
P: 0.093 0.750 0.892  0.06
Si: 0.755 0.250 0.810  0.00
P: 0.524 0.480 0.258  0.00
Si: 0.245 0.750 0.190  0.00
Np: 0.758 0.750 0.059  -3.46
Np: 0.242 0.250 0.941  -3.46
P: 0.476 0.980 0.742  0.00
P: 0.907 0.250 0.108  0.06
Np: 0.235 0.250 0.433  3.48

Results
magnetization: 0.05 μB/cell
E_tot: -8.043 eV per atom
raw formation energy: -0.48 eV per atom
density of states at the Fermi level: 16.51 states/eV/f.u.

=====

Record 5
Ag2WAu: relaxed, GGA-PBE.

Cell lengths 5.078, 5.078, 5.114 Å; angles 82.97, 82.97, 31.63 degrees
Each line ends with the local moment (μB).
Atoms (fractional coordinates):
W: 0.750 0.750 0.750  0.23
Au: 0.250 0.250 0.250  0.02
Ag: 0.497 0.497 0.507  0.01
Ag: 0.003 0.003 0.993  0.01

Results
magnetization: 0.32 μB/cell
E_tot: -4.997 eV per atom
E_form: 486 meV/atom
density of states at the Fermi level: 3.77 states/eV/f.u.

=====

Record 6
DyY4Ho2: relaxed, GGA-PBE.

Cell lengths 5.966, 6.670, 11.697 Å; angles 90.00, 105.41, 90.00 degrees
Atoms (fractional coordinates):
Y: 0.633 0.495 0.290
Ho: 0.399 0.250 0.992
Ho: 0.725 0.750 0.556
Y: 0.154 0.750 0.422
Dy: 0.163 0.750 0.139
Y: 0.367 0.505 0.710
Ho: 0.275 0.250 0.444
Y: 0.633 0.005 0.290
Y: 0.367 0.995 0.710
Dy: 0.837 0.250 0.861
Y: 0.018 0.250 0.158
Y: 0.982 0.750 0.842
Ho: 0.601 0.750 0.008
Y: 0.846 0.250 0.578

Results
magnetization: 0.00 μB/cell
E_tot: -5.522 eV per atom
E_form: 137 meV/atom
density of states at the Fermi level: 12.76 states/eV/f.u.

=====

Record 7
LiPtI: relaxed, GGA-PBE.

Cell lengths 5.727, 8.266, 3.891 Å; angles 82.86, 109.79, 83.97 degrees
Atoms (fractional coordinates):
Li: 0.521 0.350 0.309
Li: 0.505 0.894 0.423
Pt: 0.292 0.630 0.412
I: 0.974 0.563 0.770
I: 0.626 0.111 0.925
Pt: 0.615 0.638 0.069

Results
magnetization: 0.00 μB/cell
E_tot: -3.611 eV per atom
raw formation energy: -0.44 eV per atom
density of states at the Fermi level: 0.07 states/eV/f.u.

=====

Record 8
YPaCuHg: relaxed, GGA-PBE.

Cell lengths 5.122, 5.122, 5.122 Å; angles 60.00, 60.00, 60.00 degrees
Each line ends with the local moment (μB).
Atoms (fractional coordinates):
Pa: 0.250 0.250 0.250  0.91
Y: 0.750 0.750 0.750  0.23
Hg: 0.500 0.500 0.500  0.02
Cu: 0.000 0.000 0.000  0.03

Results
magnetization: 1.60 μB/cell
E_tot: -5.020 eV per atom
E_form: 69 meV/atom
density of states at the Fermi level: 8.36 states/eV/f.u.

=====

Record 9
MnRh3Br: relaxed, GGA-PBE.

Cell lengths 4.579, 4.579, 4.579 Å; angles 90.00, 90.00, 90.00 degrees
Each line ends with the local moment (μB).
Atoms (fractional coordinates):
Rh: 0.000 0.000 0.500  0.13
Mn: 0.500 0.500 0.500  4.36
Rh: 0.000 0.500 0.000  0.23
Br: 0.000 0.000 0.000  0.02
Rh: 0.500 0.000 0.000  0.31

Results
magnetization: 5.33 μB/cell
E_tot: -5.595 eV per atom
raw formation energy: 0.98 eV per atom
density of states at the Fermi level: 5.48 states/eV/f.u.

=====

Record 10
TcMo2C: relaxed, GGA-PBE.

Cell lengths 2.999, 2.999, 7.030 Å; angles 77.68, 77.68, 60.00 degrees
Atoms (fractional coordinates):
C: 0.000 0.000 0.000
Tc: 0.500 0.500 0.500
Mo: 0.275 0.275 0.176
Mo: 0.725 0.725 0.824

Results
magnetization: 0.00 μB/cell
E_tot: -10.254 eV per atom
E_form: 59 meV/atom
density of states at the Fermi level: 3.27 states/eV/f.u.

=====

Record 11
CoRh2: relaxed, GGA-PBE.

Cell lengths 2.672, 2.672, 6.444 Å; angles 90.00, 90.00, 120.00 degrees
Each line ends with the local moment (μB).
Atoms (fractional coordinates):
Co: 0.000 0.000 0.000  1.76
Rh: 0.667 0.333 0.678  0.17
Rh: 0.333 0.667 0.322  0.17

Results
magnetization: 2.05 μB/cell
E_tot: -7.217 eV per atom
E_form: 53 meV/atom
density of states at the Fermi level: 4.34 states/eV/f.u.

=====

Record 12
ZrWCl2: relaxed, GGA-PBE.

Cell lengths 4.881, 4.881, 3.001 Å; angles 90.00, 90.00, 104.88 degrees
Atoms (fractional coordinates):
Zr: 0.000 0.500 0.500
W: 0.500 0.000 0.500
Cl: 0.500 0.500 0.000
Cl: 0.000 0.000 0.000

Results
magnetization: 0.00 μB/cell
E_tot: -5.675 eV per atom
raw formation energy: 0.62 eV per atom
density of states at the Fermi level: 4.23 states/eV/f.u.